(1)
First-principles (GGA-PBE) data for an optimized crystal structure of Al2Tc2Hg, as listed in Alexandria.

relative energy among the computed polymorphs = 0.00 eV per formula unit
DOS at the Fermi energy = 1.20 states/eV per atom
energy of formation = 3.4 kJ/mol of atoms
space group = No. 127

Cell lengths 7.085, 7.085, 3.297 Å; angles 90.00, 90.00, 90.00 degrees
Element x y z (fractional)
Hg  0.000  0.000  0.000
Hg  0.500  0.500  0.000
Al  0.336  0.164  0.500
Al  0.664  0.836  0.500
Al  0.164  0.664  0.500
Al  0.836  0.336  0.500
Tc  0.872  0.628  0.000
Tc  0.128  0.372  0.000
Tc  0.372  0.872  0.000
Tc  0.628  0.128  0.000

---

(2)
First-principles (GGA-PBE) data for an optimized crystal structure of Ta2BrO, as listed in Alexandria.

relative energy among the computed polymorphs = 2.58 eV per formula unit
DOS at the Fermi energy = 1.33 states/eV per atom
space group = No. 225
E_form (uncorrected) = 10.85 kcal/mol of atoms

Cell lengths 4.373, 4.373, 4.373 Å; angles 60.00, 60.00, 60.00 degrees
Element x y z (fractional)
Ta  0.250  0.250  0.250
Ta  0.750  0.750  0.750
O  0.000  0.000  0.000
Br  0.500  0.500  0.500

---

(3)
First-principles (GGA-PBE) data for an optimized crystal structure of TePbI2Cl, as listed in Alexandria.

relative energy among the computed polymorphs = 0.26 eV per formula unit
DOS at the Fermi energy = 0.46 states/eV per atom
space group = No. 123
E_form (uncorrected) = 6.68 kcal/mol of atoms

Cell lengths 5.658, 5.658, 5.894 Å; angles 90.00, 90.00, 90.00 degrees
Element x y z (fractional)
I  0.500  0.000  0.000
I  0.000  0.500  0.000
Cl  0.000  0.000  0.000
Pb  0.500  0.500  0.500
Te  0.000  0.000  0.500